[1]
Below is an optimized crystal structure of LiMg2Au, with properties calculated at the GGA-PBE level.

Calculated values
Formation energy from the elements ... -0.35 eV/atom
Crystal system ... tetragonal
Space group ... P4mm

Structure (POSCAR):
```
LiMg2Au
1.0
3.380 0.000 0.000
0.000 3.380 0.000
0.000 0.000 6.532
Li Mg Au
1 2 1
Cartesian
0.000 0.000 0.000 Li
0.000 0.000 3.708 Mg
1.690 1.690 1.665 Mg
1.690 1.690 5.240 Au
```

***

[2]
Below is an optimized crystal structure of KTmP2O6, with properties calculated at the GGA-PBE level.

Calculated values
Formation energy from raw total energies ... -2500 kJ/mol of formula units
Crystal system ... monoclinic
Space group ... C2/c

Structure (POSCAR):
```
KTmP2O6
1.0
3.742 -5.567 0.000
3.742 5.567 0.000
-0.867 0.000 8.300
K Tm P O
2 2 4 12
Cartesian
3.092 4.506 6.225 K
3.526 -4.506 2.075 K
3.526 1.797 2.075 Tm
3.092 -1.797 6.225 Tm
2.103 1.430 6.746 P
4.081 1.430 5.703 P
2.537 -1.430 2.596 P
4.514 -1.430 1.554 P
1.104 2.399 6.075 O
2.351 1.818 8.206 O
2.120 0.047 2.402 O
1.687 -0.047 6.552 O
3.833 1.818 4.244 O
1.537 -2.399 1.925 O
5.080 2.399 6.375 O
2.785 -1.818 4.056 O
4.931 0.047 1.748 O
4.497 -0.047 5.898 O
4.266 -1.818 0.094 O
5.514 -2.399 2.225 O
```

***

[3]
Below is an optimized crystal structure of ScInCo2N, with properties calculated at the GGA-PBE level.

Calculated values
Formation energy from raw total energies ... -142 kJ/mol of formula units
Crystal system ... tetragonal
Space group ... P4/mmm

Structure (POSCAR):
```
ScInCo2N
1.0
4.015 0.000 0.000
0.000 4.015 0.000
0.000 0.000 4.223
Sc In Co N
1 1 2 1
Cartesian
0.000 0.000 0.000 Sc
2.008 2.008 0.000 In
0.000 2.008 2.112 Co
2.008 0.000 2.112 Co
0.000 0.000 2.112 N
```

***

[4]
Below is an optimized crystal structure of K4Hg3Pt2, with properties calculated at the GGA-PBE level.

Calculated values
Formation energy from the elements ... -0.18 eV/atom
Crystal system ... monoclinic
Space group ... C2/m

Structure (POSCAR):
```
K4Hg3Pt2
1.0
8.619 -2.238 0.000
8.619 2.238 0.000
-2.102 0.000 7.569
K Hg Pt
4 3 2
Cartesian
0.536 0.000 2.795 K
3.006 0.000 6.241 K
12.130 0.000 1.328 K
14.600 0.000 4.774 K
6.138 0.000 2.028 Hg
8.619 0.000 0.000 Hg
8.998 0.000 5.541 Hg
-0.471 0.000 7.069 Pt
15.607 0.000 0.499 Pt
```

***

[5]
Below is an optimized crystal structure of Li2Er2PuS6, with properties calculated at the GGA-PBE level.

Calculated values
Formation energy from raw total energies ... -1795 kJ/mol of formula units
Crystal system ... monoclinic
Space group ... C2/m

Structure (POSCAR):
```
Li2Er2PuS6
1.0
3.390 -5.876 0.000
3.390 5.876 0.000
-2.185 0.000 6.152
Li Er Pu S
2 2 1 6
Cartesian
3.390 3.910 0.000 Li
3.390 -3.910 0.000 Li
2.298 1.945 3.076 Er
2.298 -1.945 3.076 Er
-1.093 0.000 3.076 Pu
0.004 1.975 4.568 S
1.098 0.000 1.583 S
0.004 -1.975 4.568 S
4.592 1.975 1.583 S
3.497 0.000 4.568 S
4.592 -1.975 1.583 S
```

***

[6]
Below is an optimized crystal structure of Sr5Pt, with properties calculated at the GGA-PBE level.

Calculated values
Relative energy among the computed polymorphs ... 908 meV per atom
Formation energy from the elements ... 0.64 eV/atom
Crystal system ... hexagonal
Space group ... P6/mmm

Structure (POSCAR):
```
Sr5Pt
1.0
6.954 0.000 0.000
-3.477 6.022 0.000
0.000 0.000 6.986
Sr Pt
5 1
Cartesian
-1.738 3.011 0.000 Sr
0.000 4.015 3.493 Sr
3.477 0.000 0.000 Sr
1.738 3.011 0.000 Sr
3.477 2.007 3.493 Sr
0.000 0.000 3.493 Pt
```